Entry 1:
# TcHg2Au

A PBEsol-optimized structure of TcHg2Au (SCAN, the Alexandria database).

Cell lengths 5.647, 5.647, 5.647 Å; angles 150.03, 126.78, 62.29 degrees
Fractional coordinates of all 4 atoms:
Tc 0.000 0.000 0.000
Hg 0.247 0.747 0.500
Hg 0.753 0.253 0.500
Au 0.500 0.500 0.000

Values from the calculation:
ρ = 16.19 Mg/m³
energy = -238.37 eV for the cell shown
offset from the most stable computed form = 0 meV/atom
magnetization = 0.0 μB/f.u.

Entry 2:
# TcHgAu2

A PBEsol-optimized structure of TcHgAu2 (SCAN, the Alexandria database).

Cell lengths 4.954, 4.954, 5.186 Å; angles 98.35, 98.35, 32.48 degrees
Fractional coordinates of all 4 atoms:
Tc 0.000 0.000 0.000
Hg 0.500 0.500 0.500
Au 0.258 0.258 0.764
Au 0.742 0.742 0.236

Values from the calculation:
ρ = 17.02 Mg/m³
energy = -239.85 eV for the cell shown
magnetization = 0.8 μB/f.u.

Entry 3:
# Hg2TeAu

A PBEsol-optimized structure of Hg2TeAu (SCAN, the Alexandria database).

Cell lengths 6.799, 6.799, 6.799 Å; angles 36.18, 36.18, 36.18 degrees
Fractional coordinates of all 4 atoms:
Hg 0.000 0.000 0.000
Hg 0.248 0.248 0.248
Te 0.769 0.769 0.769
Au 0.503 0.503 0.503

Values from the calculation:
ρ = 12.30 Mg/m³
formation energy without anion corrections = -0.030 eV/atom
energy = -242.86 eV for the cell shown
magnetization = 0.0 μB/f.u.

Entry 4:
# Hg2TeAu

A PBEsol-optimized structure of Hg2TeAu (SCAN, the Alexandria database).

Cell lengths 3.887, 4.103, 6.097 Å; angles 90.00, 90.00, 90.00 degrees
Fractional coordinates of all 4 atoms:
Hg 0.000 0.000 0.000
Hg 0.500 0.500 0.000
Te 0.000 0.500 0.500
Au 0.500 0.000 0.500

Values from the calculation:
ρ = 12.40 Mg/m³
formation energy without anion corrections = 0.063 eV/atom
energy = -242.49 eV for the cell shown
magnetization = 0.0 μB/f.u.

Entry 5:
# Hg2TeAu2

A PBEsol-optimized structure of Hg2TeAu2 (SCAN, the Alexandria database).

Cell lengths 7.356, 7.356, 7.356 Å; angles 148.38, 148.38, 45.33 degrees
Fractional coordinates of all 5 atoms:
Hg 0.250 0.750 0.500
Hg 0.750 0.250 0.500
Te 0.000 0.000 0.000
Au 0.402 0.402 0.000
Au 0.598 0.598 0.000

Values from the calculation:
ρ = 14.05 Mg/m³
formation energy without anion corrections = 0.134 eV/atom
energy = -311.23 eV for the cell shown
magnetization = 0.0 μB/f.u.

Entry 6:
# Hg2TeAu

A PBEsol-optimized structure of Hg2TeAu (SCAN, the Alexandria database).

Cell lengths 4.459, 4.751, 4.751 Å; angles 76.50, 90.00, 90.00 degrees
Fractional coordinates of all 4 atoms:
Hg 0.000 0.000 0.000
Hg 0.500 0.258 0.258
Te 0.500 0.706 0.706
Au 0.000 0.491 0.491

Values from the calculation:
ρ = 12.31 Mg/m³
formation energy without anion corrections = 0.001 eV/atom
energy = -242.74 eV for the cell shown
magnetization = 0.0 μB/f.u.

Entry 7:
# Hg2TeAu

A PBEsol-optimized structure of Hg2TeAu (SCAN, the Alexandria database).

Cell lengths 2.875, 3.971, 8.164 Å; angles 90.00, 90.00, 90.00 degrees
Fractional coordinates of all 4 atoms:
Hg 0.000 0.000 0.000
Hg 0.500 0.500 0.252
Te 0.000 0.000 0.558
Au 0.500 0.500 0.785

Values from the calculation:
ρ = 12.93 Mg/m³
formation energy without anion corrections = 0.171 eV/atom
energy = -242.05 eV for the cell shown
magnetization = 0.0 μB/f.u.

Entry 8:
# TlHgAu4

A PBEsol-optimized structure of TlHgAu4 (SCAN, the Alexandria database).

Cell lengths 5.533, 5.533, 5.533 Å; angles 60.00, 60.00, 60.00 degrees
Fractional coordinates of all 6 atoms:
Tl 0.000 0.000 0.000
Hg 0.750 0.750 0.750
Au 0.375 0.375 0.375
Au 0.375 0.375 0.874
Au 0.375 0.874 0.375
Au 0.874 0.375 0.375

Values from the calculation:
ρ = 16.54 Mg/m³
energy = -417.02 eV for the cell shown
magnetization = 0.0 μB/f.u.

Entry 9:
# TlHgAu2

A PBEsol-optimized structure of TlHgAu2 (SCAN, the Alexandria database).

Cell lengths 5.088, 5.088, 4.735 Å; angles 104.82, 104.82, 44.21 degrees
Fractional coordinates of all 4 atoms:
Tl 0.000 0.000 0.000
Hg 0.764 0.764 0.296
Au 0.248 0.248 0.751
Au 0.510 0.510 0.524

Values from the calculation:
ρ = 16.15 Mg/m³
energy = -278.45 eV for the cell shown
offset from the most stable computed form = 81 meV/atom
magnetization = 0.0 μB/f.u.

Entry 10:
# TlHgAu2

A PBEsol-optimized structure of TlHgAu2 (SCAN, the Alexandria database).

Cell lengths 3.456, 3.456, 6.963 Å; angles 90.00, 90.00, 90.00 degrees
Fractional coordinates of all 4 atoms:
Tl 0.000 0.000 0.000
Hg 0.500 0.500 0.696
Au 0.000 0.000 0.464
Au 0.500 0.500 0.261

Values from the calculation:
ρ = 15.95 Mg/m³
energy = -278.50 eV for the cell shown
offset from the most stable computed form = 70 meV/atom
magnetization = 0.0 μB/f.u.

Entry 11:
# TlHg2Au2

A PBEsol-optimized structure of TlHg2Au2 (SCAN, the Alexandria database).

Cell lengths 8.438, 8.438, 8.438 Å; angles 153.86, 153.86, 37.30 degrees
Fractional coordinates of all 5 atoms:
Tl 0.000 0.000 0.000
Hg 0.389 0.389 0.000
Hg 0.611 0.611 0.000
Au 0.250 0.750 0.500
Au 0.750 0.250 0.500

Values from the calculation:
ρ = 14.25 Mg/m³
energy = -346.92 eV for the cell shown
offset from the most stable computed form = 0 meV/atom
magnetization = 0.0 μB/f.u.

Entry 12:
# TlHgAu

A PBEsol-optimized structure of TlHgAu (SCAN, the Alexandria database).

Cell lengths 5.678, 5.678, 7.865 Å; angles 120.60, 120.60, 40.05 degrees
Fractional coordinates of all 6 atoms:
Tl 0.082 0.082 0.339
Tl 0.918 0.918 0.661
Hg 0.348 0.348 0.954
Hg 0.652 0.652 0.046
Au 0.355 0.355 0.329
Au 0.645 0.645 0.671

Values from the calculation:
ρ = 14.58 Mg/m³
energy = -419.55 eV for the cell shown
offset from the most stable computed form = 0 meV/atom
magnetization = 0.0 μB/f.u.

Entry 13:
# TlHgAu

A PBEsol-optimized structure of TlHgAu (SCAN, the Alexandria database).

Cell lengths 4.915, 4.915, 3.261 Å; angles 90.00, 90.00, 120.00 degrees
Fractional coordinates of all 3 atoms:
Tl 0.000 0.000 0.000
Hg 0.333 0.667 0.499
Au 0.667 0.333 0.503

Values from the calculation:
ρ = 14.65 Mg/m³
energy = -209.52 eV for the cell shown
offset from the most stable computed form = 86 meV/atom
magnetization = 0.0 μB/f.u.

Entry 14:
# TlHgAu2

A PBEsol-optimized structure of TlHgAu2 (SCAN, the Alexandria database).

Cell lengths 7.049, 7.049, 7.049 Å; angles 32.63, 32.63, 32.63 degrees
Fractional coordinates of all 4 atoms:
Tl 0.000 0.000 0.000
Hg 0.500 0.500 0.500
Au 0.247 0.247 0.247
Au 0.753 0.753 0.753

Values from the calculation:
ρ = 14.65 Mg/m³
energy = -278.65 eV for the cell shown
offset from the most stable computed form = 31 meV/atom
magnetization = 0.0 μB/f.u.

Entry 15:
# TlHgAu

A PBEsol-optimized structure of TlHgAu (SCAN, the Alexandria database).

Cell lengths 4.710, 4.710, 4.710 Å; angles 60.00, 60.00, 60.00 degrees
Fractional coordinates of all 3 atoms:
Tl 0.000 0.000 0.000
Hg 0.500 0.500 0.500
Au 0.250 0.250 0.250

Values from the calculation:
ρ = 13.53 Mg/m³
energy = -209.75 eV for the cell shown
offset from the most stable computed form = 9 meV/atom
magnetization = 0.0 μB/f.u.

Entry 16:
# TlHgAu2

A PBEsol-optimized structure of TlHgAu2 (SCAN, the Alexandria database).

Cell lengths 3.137, 3.778, 7.060 Å; angles 90.00, 90.00, 90.00 degrees
Fractional coordinates of all 4 atoms:
Tl 0.000 0.000 0.000
Hg 0.500 0.500 0.691
Au 0.000 0.000 0.461
Au 0.500 0.500 0.260

Values from the calculation:
ρ = 15.85 Mg/m³
energy = -278.53 eV for the cell shown
offset from the most stable computed form = 61 meV/atom
magnetization = 0.0 μB/f.u.

Entry 17:
# TlHgAu

A PBEsol-optimized structure of TlHgAu (SCAN, the Alexandria database).

Cell lengths 6.307, 6.307, 6.307 Å; angles 148.74, 148.74, 44.80 degrees
Fractional coordinates of all 3 atoms:
Tl 0.000 0.000 0.000
Hg 0.696 0.696 0.000
Au 0.338 0.338 0.000

Values from the calculation:
ρ = 14.84 Mg/m³
energy = -209.54 eV for the cell shown
offset from the most stable computed form = 79 meV/atom
magnetization = 0.0 μB/f.u.

Entry 18:
# TlHgAu2

A PBEsol-optimized structure of TlHgAu2 (SCAN, the Alexandria database).

Cell lengths 4.336, 5.644, 5.644 Å; angles 37.84, 90.00, 90.00 degrees
Fractional coordinates of all 4 atoms:
Tl 0.000 0.000 0.000
Hg 0.500 0.696 0.696
Au 0.000 0.263 0.263
Au 0.500 0.428 0.428

Values from the calculation:
ρ = 15.66 Mg/m³
energy = -278.78 eV for the cell shown
offset from the most stable computed form = 0 meV/atom
magnetization = 0.0 μB/f.u.

Entry 19:
# TlHg2Au2

A PBEsol-optimized structure of TlHg2Au2 (SCAN, the Alexandria database).

Cell lengths 8.418, 8.418, 2.999 Å; angles 90.00, 90.00, 90.00 degrees
Fractional coordinates of all 10 atoms:
Tl 0.000 0.000 0.000
Tl 0.500 0.500 0.000
Hg 0.130 0.370 0.000
Hg 0.370 0.870 0.000
Hg 0.630 0.130 0.000
Hg 0.870 0.630 0.000
Au 0.168 0.668 0.500
Au 0.332 0.168 0.500
Au 0.668 0.832 0.500
Au 0.832 0.332 0.500

Values from the calculation:
ρ = 15.62 Mg/m³
energy = -693.43 eV for the cell shown
offset from the most stable computed form = 41 meV/atom
magnetization = 0.0 μB/f.u.

Entry 20:
# YHgAu

A PBEsol-optimized structure of YHgAu (SCAN, the Alexandria database).

Cell lengths 5.299, 5.299, 5.299 Å; angles 138.52, 138.52, 60.11 degrees
Fractional coordinates of all 3 atoms:
Y 0.000 0.000 0.000
Hg 0.675 0.675 0.000
Au 0.338 0.338 0.000

Values from the calculation:
ρ = 12.50 Mg/m³
energy = -167.63 eV for the cell shown
magnetization = 0.0 μB/f.u.